1.
Material: HoW4S8
Method: DFT, PBE-GGA
State: optimized geometry

Unit cell a=6.5862 b=6.5862 c=7.7638 alpha=90.00 beta=115.10 gamma=120.00
Atoms (fractional coordinates):
S 0.4850 0.7425 0.2275
S 0.9914 0.2399 0.2313
S 0.0086 0.7601 0.7687
S 0.5150 0.2575 0.7725
S 0.9914 0.7515 0.2313
S 0.5203 0.7601 0.7687
S 0.0086 0.2485 0.7687
S 0.4797 0.2399 0.2313
W 0.0000 0.5000 0.0000
W 0.5000 0.5000 0.0000
W 0.5000 0.0000 0.0000
W 0.0000 0.0000 0.0000
Ho 0.0000 0.5000 0.5000

## Properties
* E_form (uncorrected): -0.632 eV per atom
* SG: R-3m, No. 166
* E: -97.63 eV per cell

---

2.
Material: Ba2Au2I
Method: DFT, PBE-GGA
State: optimized geometry

Unit cell a=4.8735 b=4.8735 c=9.5885 alpha=90.00 beta=104.72 gamma=120.00
Atoms (fractional coordinates):
Au 0.3354 0.1677 0.5031
Au 0.6646 0.8323 0.4969
Ba 0.8521 0.4256 0.2776
Ba 0.1479 0.5744 0.7224
I 0.0000 0.0000 0.0000

## Properties
* E_form (uncorrected): -1.050 eV per atom
* SG: R-3m, No. 166
* E: -17.20 eV per cell
* excess energy over the best structure of this formula in the dataset: 0 meV per atom

---

3.
Material: AcCuAs3
Method: DFT, PBE-GGA
State: optimized geometry

Unit cell a=4.8551 b=4.8551 c=4.8551 alpha=90.00 beta=90.00 gamma=90.00
Atoms (fractional coordinates):
As 0.5000 0.0000 0.0000
As 0.0000 0.0000 0.5000
As 0.0000 0.5000 0.0000
Ac 0.5000 0.5000 0.5000
Cu 0.0000 0.0000 0.0000

## Properties
* SG: Pm-3m, No. 221
* E: -23.94 eV per cell
* ΔE_f: -172 kJ/mol of formula units

---

4.
Material: Li2SeO2
Method: DFT, PBE-GGA
State: optimized geometry

Unit cell a=3.7615 b=4.6178 c=7.8335 alpha=90.00 beta=103.89 gamma=90.00
Atoms (fractional coordinates):
O 0.2810 0.3028 0.5620
O 0.3970 0.8414 0.7940
O 0.7190 0.8028 0.4380
O 0.6030 0.3414 0.2060
Se 0.3977 0.2379 0.7953
Se 0.6023 0.7379 0.2047
Li 0.0850 0.2354 0.1699
Li 0.2644 0.7481 0.5288
Li 0.7356 0.2481 0.4712
Li 0.9150 0.7354 0.8301

## Properties
* E_form (uncorrected): -1.303 eV per atom
* SG: Cmc2_1, No. 36
* E: -47.48 eV per cell